The following is a DFT calculation (PBE) of an optimized crystal structure of Y4Cd5Au6.

Summary:
calculated density	10.09	Mg/m³
spin magnetization	0.00	μB/cell
raw total energy	-58.5	eV/f.u.

```
data_Y4Cd5Au6
_chemical_formula_sum 'Y8 Cd10 Au12'
_space_group_name_H-M_alt 'P 1'
_space_group_IT_number 1
_cell_length_a 3.952
_cell_length_b 11.692
_cell_length_c 15.169
_cell_angle_alpha 90.00
_cell_angle_beta 90.00
_cell_angle_gamma 99.73
loop_
_space_group_symop_operation_xyz
'x,y,z'
loop_
_atom_site_label
_atom_site_fract_x
_atom_site_fract_y
_atom_site_fract_z
_atom_site_occupancy
Au1 0.578 0.156 0.934 1
Y1 0.866 0.732 0.786 1
Y2 0.021 0.042 0.512 1
Cd1 0.674 0.347 0.777 1
Y3 0.134 0.268 0.286 1
Cd2 0.308 0.616 0.620 1
Y4 0.052 0.104 0.785 1
Cd3 0.821 0.642 0.123 1
Y5 0.979 0.958 0.012 1
Au2 0.414 0.829 0.136 1
Y6 0.180 0.359 0.946 1
Au3 0.540 0.080 0.359 1
Au4 0.772 0.544 0.948 1
Au5 0.228 0.456 0.448 1
Au6 0.460 0.920 0.859 1
Cd4 0.360 0.720 0.968 1
Cd5 0.692 0.384 0.120 1
Cd6 0.640 0.280 0.468 1
Cd7 0.179 0.358 0.623 1
Au7 0.732 0.463 0.296 1
Y7 0.820 0.641 0.446 1
Au8 0.101 0.202 0.092 1
Cd8 0.326 0.653 0.277 1
Cd9 0.465 0.930 0.672 1
Au9 0.586 0.171 0.636 1
Y8 0.948 0.896 0.285 1
Cd10 0.535 0.070 0.172 1
Au10 0.268 0.537 0.796 1
Au11 0.899 0.798 0.592 1
Au12 0.422 0.844 0.434 1
```

The following is a DFT calculation (PBE) of an optimized crystal structure of RbUBe2Cl8.

Summary:
calculated density	3.02	Mg/m³
spin magnetization	3.00	μB/cell
raw total energy	-53.5	eV/f.u.

```
data_RbUBe2Cl8
_chemical_formula_sum 'Rb1 U1 Be2 Cl8'
_space_group_name_H-M_alt 'P 1'
_space_group_IT_number 1
_cell_length_a 6.283
_cell_length_b 6.283
_cell_length_c 10.694
_cell_angle_alpha 72.92
_cell_angle_beta 72.92
_cell_angle_gamma 60.00
loop_
_space_group_symop_operation_xyz
'x,y,z'
loop_
_atom_site_label
_atom_site_fract_x
_atom_site_fract_y
_atom_site_fract_z
_atom_site_occupancy
Cl1 0.714 0.034 0.833 1
Cl2 0.286 0.966 0.167 1
Cl3 0.418 0.714 0.833 1
Cl4 0.966 0.582 0.167 1
Be1 0.747 0.747 0.760 1
Rb1 0.500 0.500 0.500 1
Cl5 0.582 0.286 0.167 1
Cl6 0.034 0.418 0.833 1
Be2 0.253 0.253 0.240 1
U1 0.000 0.000 0.000 1
Cl7 0.189 0.189 0.434 1
Cl8 0.811 0.811 0.566 1
```

The following is a DFT calculation (PBE) of an optimized crystal structure of CsCd3In3.

Summary:
calculated density	5.57	Mg/m³
spin magnetization	0.00	μB/cell
distance to the lowest polymorph of the same formula	0	meV/atom

```
data_CsCd3In3
_chemical_formula_sum 'Cs2 Cd6 In6'
_space_group_name_H-M_alt 'P 1'
_space_group_IT_number 1
_cell_length_a 7.714
_cell_length_b 7.714
_cell_length_c 10.418
_cell_angle_alpha 68.27
_cell_angle_beta 68.27
_cell_angle_gamma 60.00
loop_
_space_group_symop_operation_xyz
'x,y,z'
loop_
_atom_site_label
_atom_site_fract_x
_atom_site_fract_y
_atom_site_fract_z
_atom_site_occupancy
In1 0.072 0.594 0.610 1
In2 0.276 0.928 0.390 1
Cs1 0.668 0.668 0.995 1
Cd1 0.289 0.134 0.729 1
In3 0.724 0.072 0.610 1
Cs2 0.332 0.332 0.005 1
Cd2 0.848 0.289 0.729 1
In4 0.928 0.406 0.390 1
Cd3 0.134 0.848 0.729 1
In5 0.594 0.724 0.610 1
Cd4 0.866 0.152 0.271 1
Cd5 0.152 0.711 0.271 1
In6 0.406 0.276 0.390 1
Cd6 0.711 0.866 0.271 1
```